This record from the Alexandria database describes a relaxed structure of InTe2Pb. The functional is PBE-GGA.

Density of states at the Fermi level: 8.1 states/eV per cell
Uncorrected formation energy: 0.058 eV/atom
Density: 7.68 Mg/m³
VASP energy: -3.1244 eV/atom

Cell: 3.4266 3.4266 36.8376 Å, 90.00 90.00 120.00°
Space group R-3m (No. 166, hexagonal axes)
One atom of each set of equivalent atoms:
In (0.0000, 0.0000, 0.0000) [3 per cell]
Te (0.0000, 0.0000, 0.4122) [6 per cell]
Pb (0.0000, 0.0000, 0.5000) [3 per cell]



This record from the Alexandria database describes a relaxed structure of InTe3Pb2. The functional is PBE-GGA.

Density of states at the Fermi level: 4.1 states/eV per cell
Uncorrected formation energy: -0.345 eV/atom
Density: 7.45 Mg/m³
VASP energy: -3.6083 eV/atom

Cell: 4.584 6.421 13.814 Å, 90.00 90.00 90.00°
Space group Immm (No. 71)
One atom of each set of equivalent atoms:
In (0.000, 0.000, 0.000) [2 per cell]
Te (0.000, 0.500, 0.000) [2 per cell]
Te (0.000, 0.500, 0.340) [4 per cell]
Pb (0.000, 0.000, 0.330) [4 per cell]



Q: Look up the uncorrected formation energy of the second one.
A: -0.345 eV/atom



Please write out number 2 again, unchanged.
This record from the Alexandria database describes a relaxed structure of InTe3Pb2. The functional is PBE-GGA.

Density of states at the Fermi level: 4.1 states/eV per cell
Uncorrected formation energy: -0.345 eV/atom
Density: 7.45 Mg/m³
VASP energy: -3.6083 eV/atom

Cell: 4.584 6.421 13.814 Å, 90.00 90.00 90.00°
Space group Immm (No. 71)
One atom of each set of equivalent atoms:
In (0.000, 0.000, 0.000) [2 per cell]
Te (0.000, 0.500, 0.000) [2 per cell]
Te (0.000, 0.500, 0.340) [4 per cell]
Pb (0.000, 0.000, 0.330) [4 per cell]



Q: The highest uncorrected formation energy belongs to which entry?
A: InTe2Pb



Repeat the first record exactly.
This record from the Alexandria database describes a relaxed structure of InTe2Pb. The functional is PBE-GGA.

Density of states at the Fermi level: 8.1 states/eV per cell
Uncorrected formation energy: 0.058 eV/atom
Density: 7.68 Mg/m³
VASP energy: -3.1244 eV/atom

Cell: 3.4266 3.4266 36.8376 Å, 90.00 90.00 120.00°
Space group R-3m (No. 166, hexagonal axes)
One atom of each set of equivalent atoms:
In (0.0000, 0.0000, 0.0000) [3 per cell]
Te (0.0000, 0.0000, 0.4122) [6 per cell]
Pb (0.0000, 0.0000, 0.5000) [3 per cell]